1.
Compound: DyHoCdCu
Source: the Alexandria database
Functional: PBE
Structure: relaxed

The space group is P4mm (No. 99) and the conventional cell measures 3.502, 3.502 and 7.630 Å, with angles of 90.00, 90.00 and 90.00 degrees. The distinct sites, in fractional coordinates, are Dy at (0.000, 0.000, 0.000), Ho at (0.000, 0.000, 0.557), Cd at (0.500, 0.500, 0.280) and Cu at (0.500, 0.500, 0.776).

As for the density: 8933 kg/m³. For the excess energy over the best structure of this formula in the dataset, the calculation gives 0 meV/atom. For the energy of formation from the pure elements, the calculation gives -1.11 eV/f.u. As for the density of states at the Fermi level: 3.604 states/eV/cell. The calculation puts the spin magnetization at 0.00 μB/atom.



2.
Compound: DyCdInCu
Source: the Alexandria database
Functional: PBE
Structure: relaxed

The space group is F-43m (No. 216) and the conventional cell measures 6.944, 6.944 and 6.944 Å, with angles of 90.00, 90.00 and 90.00 degrees. The distinct sites, in fractional coordinates, are Dy at (0.000, 0.000, 0.000), Cd at (0.250, 0.250, 0.750), In at (0.000, 0.000, 0.500) and Cu at (0.250, 0.250, 0.250).

As for the density: 8992 kg/m³. For the energy of formation from the pure elements, the calculation gives -0.93 eV/f.u. As for the density of states at the Fermi level: 8.312 states/eV/cell. The calculation puts the spin magnetization at 0.00 μB/atom.



3.
Compound: LaDyCdCu
Source: the Alexandria database
Functional: PBE
Structure: relaxed

The space group is F-43m (No. 216) and the conventional cell measures 7.447, 7.447 and 7.447 Å, with angles of 90.00, 90.00 and 90.00 degrees. The distinct sites, in fractional coordinates, are La at (0.000, 0.000, 0.000), Dy at (0.000, 0.000, 0.500), Cd at (0.250, 0.250, 0.250) and Cu at (0.250, 0.250, 0.750).

As for the density: 7677 kg/m³. For the energy of formation from the pure elements, the calculation gives -0.77 eV/f.u. As for the density of states at the Fermi level: 10.615 states/eV/cell. The calculation puts the spin magnetization at 0.00 μB/atom.



4.
Compound: LiDyCdCu
Source: the Alexandria database
Functional: PBE
Structure: relaxed

The space group is F-43m (No. 216) and the conventional cell measures 6.718, 6.718 and 6.718 Å, with angles of 90.00, 90.00 and 90.00 degrees. The distinct sites, in fractional coordinates, are Li at (0.000, 0.000, 0.000), Dy at (0.250, 0.250, 0.250), Cd at (0.250, 0.250, 0.750) and Cu at (0.000, 0.000, 0.500).

As for the density: 7566 kg/m³. For the energy of formation from the pure elements, the calculation gives -0.70 eV/f.u. As for the density of states at the Fermi level: 24.708 states/eV/cell. The calculation puts the spin magnetization at 0.00 μB/atom.



5.
Compound: DyCdCuNi
Source: the Alexandria database
Functional: PBE
Structure: relaxed

The space group is F-43m (No. 216) and the conventional cell measures 6.576, 6.576 and 6.576 Å, with angles of 90.00, 90.00 and 90.00 degrees. The distinct sites, in fractional coordinates, are Dy at (0.000, 0.000, 0.000), Cd at (0.000, 0.000, 0.500), Cu at (0.250, 0.250, 0.750) and Ni at (0.250, 0.250, 0.250).

As for the density: 9275 kg/m³. For the energy of formation from the pure elements, the calculation gives -0.83 eV/f.u. As for the density of states at the Fermi level: 12.049 states/eV/cell. The calculation puts the spin magnetization at 0.00 μB/atom.



6.
Compound: Dy2CdCu12Ni3
Source: the Alexandria database
Functional: PBE
Structure: relaxed

The space group is R-3m (No. 166, hexagonal axes) and the conventional cell measures 8.5460, 8.5460 and 12.3196 Å, with angles of 90.00, 90.00 and 120.00 degrees. The distinct sites, in fractional coordinates, are Dy at (0.0000, 0.0000, 0.2423), Cd at (0.0000, 0.0000, 0.5000), Cu at (0.0005, 0.5003, 0.2046), Cu at (0.0422, 0.5211, 0.6015) and Ni at (0.0000, 0.5000, 0.0000).

As for the density: 8797 kg/m³. For the energy of formation from the pure elements, the calculation gives 1.02 eV/f.u. As for the density of states at the Fermi level: 21.845 states/eV/cell. The calculation puts the spin magnetization at 0.00 μB/atom.



7.
Compound: DyCdCuPb
Source: the Alexandria database
Functional: PBE
Structure: relaxed

The space group is F-43m (No. 216) and the conventional cell measures 7.162, 7.162 and 7.162 Å, with angles of 90.00, 90.00 and 90.00 degrees. The distinct sites, in fractional coordinates, are Dy at (0.000, 0.000, 0.000), Cd at (0.000, 0.000, 0.500), Cu at (0.250, 0.250, 0.250) and Pb at (0.250, 0.250, 0.750).

As for the density: 9868 kg/m³. For the energy of formation from the pure elements, the calculation gives -0.40 eV/f.u. As for the density of states at the Fermi level: 3.621 states/eV/cell. The calculation puts the spin magnetization at 0.00 μB/atom.



8.
Compound: PrDyCdCu
Source: the Alexandria database
Functional: PBE
Structure: relaxed

The space group is F-43m (No. 216) and the conventional cell measures 7.393, 7.393 and 7.393 Å, with angles of 90.00, 90.00 and 90.00 degrees. The distinct sites, in fractional coordinates, are Pr at (0.000, 0.000, 0.000), Dy at (0.000, 0.000, 0.500), Cd at (0.250, 0.250, 0.250) and Cu at (0.250, 0.250, 0.750).

As for the density: 7880 kg/m³. For the energy of formation from the pure elements, the calculation gives -0.77 eV/f.u. As for the density of states at the Fermi level: 12.076 states/eV/cell. The calculation puts the spin magnetization at 0.00 μB/atom.



9.
Compound: DyCdCuPt
Source: the Alexandria database
Functional: PBE
Structure: relaxed

The space group is F-43m (No. 216) and the conventional cell measures 6.744, 6.744 and 6.744 Å, with angles of 90.00, 90.00 and 90.00 degrees. The distinct sites, in fractional coordinates, are Dy at (0.000, 0.000, 0.000), Cd at (0.000, 0.000, 0.500), Cu at (0.250, 0.250, 0.250) and Pt at (0.250, 0.250, 0.750).

As for the density: 11555 kg/m³. For the energy of formation from the pure elements, the calculation gives -2.19 eV/f.u. As for the density of states at the Fermi level: 9.542 states/eV/cell. The calculation puts the spin magnetization at 0.00 μB/atom.



10.
Compound: DyCdCuRh
Source: the Alexandria database
Functional: PBE
Structure: relaxed

The space group is F-43m (No. 216) and the conventional cell measures 6.675, 6.675 and 6.675 Å, with angles of 90.00, 90.00 and 90.00 degrees. The distinct sites, in fractional coordinates, are Dy at (0.000, 0.000, 0.000), Cd at (0.000, 0.000, 0.500), Cu at (0.250, 0.250, 0.250) and Rh at (0.250, 0.250, 0.750).

As for the density: 9855 kg/m³. For the energy of formation from the pure elements, the calculation gives -1.45 eV/f.u. As for the density of states at the Fermi level: 8.821 states/eV/cell. The calculation puts the spin magnetization at 0.00 μB/atom.



11.
Compound: Dy4CdCuRu2
Source: the Alexandria database
Functional: PBE
Structure: relaxed

The space group is R-3m (No. 166, hexagonal axes) and the conventional cell measures 4.9379, 4.9379 and 24.2931 Å, with angles of 90.00, 90.00 and 120.00 degrees. The distinct sites, in fractional coordinates, are Dy at (0.0000, 0.0000, 0.1202), Dy at (0.0000, 0.0000, 0.3714), Cd at (0.0000, 0.0000, 0.5000), Cu at (0.0000, 0.0000, 0.0000) and Ru at (0.0000, 0.0000, 0.2493).

As for the density: 9984 kg/m³. For the energy of formation from the pure elements, the calculation gives -2.51 eV/f.u. As for the density of states at the Fermi level: 18.850 states/eV/cell. The calculation puts the spin magnetization at 0.00 μB/atom.



12.
Compound: DyCdCuRu
Source: the Alexandria database
Functional: PBE
Structure: relaxed

The space group is F-43m (No. 216) and the conventional cell measures 6.655, 6.655 and 6.655 Å, with angles of 90.00, 90.00 and 90.00 degrees. The distinct sites, in fractional coordinates, are Dy at (0.000, 0.000, 0.000), Cd at (0.000, 0.000, 0.500), Cu at (0.250, 0.250, 0.250) and Ru at (0.250, 0.250, 0.750).

As for the density: 9905 kg/m³. For the energy of formation from the pure elements, the calculation gives -0.18 eV/f.u. As for the density of states at the Fermi level: 5.323 states/eV/cell. The calculation puts the spin magnetization at 0.00 μB/atom.



13.
Compound: SmDyCdCu
Source: the Alexandria database
Functional: PBE
Structure: relaxed

The space group is F-43m (No. 216) and the conventional cell measures 7.314, 7.314 and 7.314 Å, with angles of 90.00, 90.00 and 90.00 degrees. The distinct sites, in fractional coordinates, are Sm at (0.000, 0.000, 0.000), Dy at (0.000, 0.000, 0.500), Cd at (0.250, 0.250, 0.750) and Cu at (0.250, 0.250, 0.250).

As for the density: 8298 kg/m³. For the energy of formation from the pure elements, the calculation gives -0.85 eV/f.u. As for the density of states at the Fermi level: 10.810 states/eV/cell. The calculation puts the spin magnetization at 0.00 μB/atom.